The following is a PBE-GGA calculation of a relaxed KLiFe2 crystal, from Alexandria via LeMat-Bulk.

Output
Energy of formation from the pure elements = 0.887 eV/atom
Offset from the most stable computed form = 132 kJ/mol of formula units
E_tot = -16.39 eV per formula unit

a b c (Å): 6.0291 6.0291 6.0291
angles (deg): 153.80 134.40 53.35
With the nearest neighbours (Å) after each atom.
Fractional positions:
1 Fe 0.0235 0.0235 0.0000  6 Fe 2.73-2.75, 2 Li 2.80
2 Fe 0.4765 0.4765 0.0000  6 Fe 2.73-2.75, 2 Li 2.80
3 Li 0.2500 0.7500 0.5000  4 K 2.71, 2 Li 2.73, 4 Fe 2.80
4 K 0.7500 0.2500 0.5000  4 Li 2.71, 2 K 2.73